A | ## La4Ho5Tm (PBE)

Data for La4Ho5Tm after structural relaxation.

Lattice parameters (Å, degrees): 6.0099 8.1836 8.1836 82.25 68.46 68.46
Last column: nearest neighbours and their distance in Å.
Fractional coordinates of all 10 atoms:
La 0.4447 0.6781 0.3218  2 Ho 3.36, 1 Tm 3.73
La 0.1228 0.3218 0.3219  2 Ho 3.36, 1 Tm 3.73
Ho 0.1439 0.6237 0.0001  1 Tm 3.26, 3 Ho 3.27-3.55, 2 La 3.36
Ho 0.7677 0.3763 0.9999  1 Tm 3.26, 3 Ho 3.27-3.55, 2 La 3.36
Tm 0.2136 0.0000 0.0000  2 Ho 2.89-3.12
Ho 0.1440 0.9999 0.6237  1 Tm 3.26, 3 Ho 3.27-3.55, 2 La 3.36
Ho 0.6949 0.0000 0.0000  2 Tm 2.89-3.12
Ho 0.7676 0.0001 0.3763  1 Tm 3.26, 3 Ho 3.27-3.55, 2 La 3.36
La 0.7665 0.6782 0.6781  2 Ho 3.36, 1 Tm 3.73
La 0.4446 0.3219 0.6782  2 Ho 3.36, 1 Tm 3.73

Calculated values
SG: I4mm, No. 107
Calculated density (g/cm³): 7.4
Crystal system: tetragonal

B | ## La4Ho5Tm (PBE)

Data for La4Ho5Tm after structural relaxation.

Lattice parameters (Å, degrees): 3.5368 11.4470 8.7437 89.89 101.66 90.00
Last column: nearest neighbours and their distance in Å.
Fractional coordinates of all 10 atoms:
Ho 0.8275 0.4520 0.6549  2 La 3.33-3.63, 6 Ho 3.37-3.54
Ho 0.5000 0.5000 0.0000  4 La 3.42, 6 Ho 3.49-3.54
La 0.0329 0.7505 0.0656  4 Ho 3.33-3.42, 2 Tm 3.40, 2 La 3.54
Tm 0.5000 0.0000 0.0000  4 La 3.40, 4 Ho 3.48, 2 Tm 3.54
Ho 0.1725 0.5480 0.3451  2 La 3.33-3.63, 6 Ho 3.37-3.54
La 0.3362 0.7498 0.6722  4 La 3.54-3.80, 6 Ho 3.63-3.84
La 0.6638 0.2502 0.3278  4 La 3.54-3.80, 6 Ho 3.63-3.84
Ho 0.1719 0.9532 0.3441  2 La 3.33-3.65, 4 Ho 3.38-3.54, 2 Tm 3.48
La 0.9671 0.2495 0.9344  4 Ho 3.33-3.42, 2 Tm 3.40, 2 La 3.54
Ho 0.8281 0.0468 0.6559  2 La 3.33-3.65, 4 Ho 3.38-3.54, 2 Tm 3.48

Calculated values
SG: C2/m, No. 12
Calculated density (g/cm³): 7.4
Crystal system: monoclinic

So which one wins? Going from most stable to least: B, A.